# 1
The following is a GGA-PBE calculation of an optimized crystal structure of LiCeIr, from Alexandria via LeMat-Bulk.

The space group is P3m1 (No. 156) and the conventional cell measures 4.4607, 4.4607 and 3.2914 Å, with angles of 90.00, 90.00 and 120.00 degrees. Symmetry generates all atoms from Li at (0.0000, 0.0000, 0.0000), Ce at (0.6667, 0.3333, 0.4991) and Ir at (0.3333, 0.6667, 0.9984).

Its relative energy among the computed polymorphs is 0.268 eV/atom. The value obtained for the formation energy is -0.314 eV/atom.

---

# 2
The following is a GGA-PBE calculation of an optimized crystal structure of NiB4, from Alexandria via LeMat-Bulk.

The space group is R3m (No. 160, hexagonal axes) and the conventional cell measures 2.9130, 2.9130 and 14.9530 Å, with angles of 90.00, 90.00 and 120.00 degrees. Symmetry generates all atoms from Ni at (0.0000, 0.0000, 0.0000), B at (0.0000, 0.0000, 0.1358), B at (0.0000, 0.0000, 0.5835), B at (0.0000, 0.0000, 0.7494) and B at (0.0000, 0.0000, 0.8619).

The value obtained for the formation energy is 0.219 eV/atom.